1.
The following is a DFT calculation (PBE-GGA) of crystalline SiAs2 at its relaxed geometry.

a = 4.6516 Å, b = 4.6516 Å, c = 5.6722 Å
α = 90.00°, β = 90.00°, γ = 120.00°
Atoms (fractional coordinates):
Si: 0.3333 0.6667 0.7500
As: 0.0000 0.0000 0.5000
As: 0.6667 0.3333 0.7500
Si: 0.6667 0.3333 0.2500
As: 0.0000 0.0000 0.0000
As: 0.3333 0.6667 0.2500

E_tot in eV per atom: -4.389
Formation energy without anion corrections in eV/atom: 0.519
Space-group type: No. 194
Magnetic moment in μB/f.u.: 0.0
Energy relative to the lowest polymorph listed for this composition in eV per atom: 0.604

---

2.
The following is a DFT calculation (PBE-GGA) of crystalline Si3As at its relaxed geometry.

a = 7.1287 Å, b = 6.2237 Å, c = 6.1809 Å
α = 90.00°, β = 90.00°, γ = 90.00°
Atoms (fractional coordinates):
As: 0.8746 0.4242 0.7500
Si: 0.6265 0.2609 0.4892
Si: 0.3735 0.7391 0.5108
Si: 0.3735 0.7391 0.9892
Si: 0.1265 0.2391 0.9892
Si: 0.8735 0.7609 0.0108
Si: 0.8786 0.0939 0.2500
Si: 0.8735 0.7609 0.4892
Si: 0.6265 0.2609 0.0108
As: 0.3746 0.0758 0.2500
As: 0.6254 0.9242 0.7500
As: 0.1254 0.5758 0.2500
Si: 0.1265 0.2391 0.5108
Si: 0.3786 0.4061 0.7500
Si: 0.6214 0.5939 0.2500
Si: 0.1214 0.9061 0.7500

E_tot in eV per atom: -4.938
Formation energy without anion corrections in eV/atom: 0.291
Space-group type: No. 62
Magnetic moment in μB/f.u.: 0.0
Energy relative to the lowest polymorph listed for this composition in eV per atom: 0.030

---

3.
The following is a DFT calculation (PBE-GGA) of crystalline SiAs5 at its relaxed geometry.

a = 5.3638 Å, b = 5.3638 Å, c = 5.0267 Å
α = 90.00°, β = 90.00°, γ = 120.00°
Atoms (fractional coordinates):
As: 0.3333 0.6667 0.0000
As: 0.5000 0.0000 0.5000
Si: 0.0000 0.0000 0.0000
As: 0.6667 0.3333 0.0000
As: 0.0000 0.5000 0.5000
As: 0.5000 0.5000 0.5000

E_tot in eV per atom: -4.099
Formation energy without anion corrections in eV/atom: 0.680
Space-group type: No. 191
Magnetic moment in μB/f.u.: 0.0
Energy relative to the lowest polymorph listed for this composition in eV per atom: 0.427

---

4.
The following is a DFT calculation (PBE-GGA) of crystalline SiAs2 at its relaxed geometry.

a = 5.5362 Å, b = 5.5362 Å, c = 5.5362 Å
α = 60.00°, β = 60.00°, γ = 60.00°
Atoms (fractional coordinates):
As: 0.6250 0.1250 0.1250
As: 0.1250 0.1250 0.6250
Si: 0.7500 0.7500 0.7500
Si: 0.5000 0.5000 0.5000
As: 0.1250 0.6250 0.1250
As: 0.1250 0.1250 0.1250

E_tot in eV per atom: -4.138
Formation energy without anion corrections in eV/atom: 0.770
Space-group type: No. 227
Magnetic moment in μB/f.u.: 0.0
Energy relative to the lowest polymorph listed for this composition in eV per atom: 0.855

---

5.
The following is a DFT calculation (PBE-GGA) of crystalline SiAs2 at its relaxed geometry.

a = 3.7518 Å, b = 3.7518 Å, c = 4.6095 Å
α = 90.00°, β = 90.00°, γ = 120.00°
Atoms (fractional coordinates):
As: 0.6667 0.3333 0.6956
As: 0.3333 0.6667 0.3044
Si: 0.0000 0.0000 0.0000

E_tot in eV per atom: -4.764
Formation energy without anion corrections in eV/atom: 0.144
Space-group type: No. 164
Magnetic moment in μB/f.u.: 0.0
Energy relative to the lowest polymorph listed for this composition in eV per atom: 0.229

---

6.
The following is a DFT calculation (PBE-GGA) of crystalline SiAs at its relaxed geometry.

a = 8.9811 Å, b = 8.9811 Å, c = 10.2861 Å
α = 68.07°, β = 68.07°, γ = 23.80°
Atoms (fractional coordinates):
Si: 0.2321 0.2321 0.6992
Si: 0.1361 0.1361 0.5913
As: 0.1436 0.1436 0.9433
Si: 0.5653 0.5653 0.9078
As: 0.5441 0.5441 0.6879
As: 0.8257 0.8257 0.6591
Si: 0.7679 0.7679 0.3008
As: 0.1743 0.1743 0.3409
Si: 0.4347 0.4347 0.0922
Si: 0.8639 0.8639 0.4087
As: 0.8564 0.8564 0.0567
As: 0.4559 0.4559 0.3121

E_tot in eV per atom: -5.129
Formation energy without anion corrections in eV/atom: -0.093
Space-group type: No. 12
Magnetic moment in μB/f.u.: 0.0

---

7.
The following is a DFT calculation (PBE-GGA) of crystalline Si8As at its relaxed geometry.

a = 6.1819 Å, b = 6.1819 Å, c = 6.1819 Å
α = 96.05°, β = 96.05°, γ = 142.12°
Atoms (fractional coordinates):
Si: 0.3255 0.6745 0.0000
Si: 0.3401 0.0000 0.3401
Si: 0.0000 0.6599 0.6599
Si: 0.6599 0.0000 0.6599
Si: 0.6745 0.6745 0.3489
Si: 0.3255 0.3255 0.6511
As: 0.0000 0.0000 0.0000
Si: 0.0000 0.3401 0.3401
Si: 0.6745 0.3255 0.0000

E_tot in eV per atom: -4.790
Formation energy without anion corrections in eV/atom: 0.547
Space-group type: No. 139
Magnetic moment in μB/f.u.: 0.0

---

8.
The following is a DFT calculation (PBE-GGA) of crystalline SiAs2 at its relaxed geometry.

a = 6.1124 Å, b = 6.1124 Å, c = 6.1124 Å
α = 90.00°, β = 90.00°, γ = 90.00°
Atoms (fractional coordinates):
As: 0.3846 0.3846 0.3846
Si: 0.0000 0.5000 0.5000
As: 0.8846 0.1154 0.6154
As: 0.8846 0.3846 0.1154
Si: 0.5000 0.0000 0.5000
As: 0.6154 0.8846 0.1154
Si: 0.5000 0.5000 0.0000
As: 0.1154 0.8846 0.3846
As: 0.1154 0.6154 0.8846
Si: 0.0000 0.0000 0.0000
As: 0.6154 0.6154 0.6154
As: 0.3846 0.1154 0.8846

E_tot in eV per atom: -4.867
Formation energy without anion corrections in eV/atom: 0.040
Space-group type: No. 205
Magnetic moment in μB/f.u.: 0.0
Energy relative to the lowest polymorph listed for this composition in eV per atom: 0.125

---

no.,volume (A^3/atom)
1,17.7
2,17.1
3,20.9
4,20.0
5,18.7
6,25.8
7,15.2
8,19.0